Entry 1:
Crystalline Rb2TaS4 at its relaxed geometry. Source: Alexandria, functional PBE.

Geometry as POSCAR:
```
Rb2TaS4
1.0
7.9318 0.0593 0.0000
-0.0641 7.9318 0.0000
-3.9338 -3.9956 5.6628
Ta S Rb
1 4 2
Direct
0.9997 0.0003 0.0000
0.7161 0.9527 0.0000
0.2814 0.0473 0.3288
0.9527 0.7186 0.6712
0.0473 0.2839 0.0000
0.7513 0.2487 0.5000
0.2513 0.7487 0.5000
```

E_form (uncorrected) (kJ/mol of atoms): -90.2
Calculated volume (Å³ per cell): 356.29
SG: Fmm2
Energy above the lowest structure with this stoichiometry (meV per atom): 95

=====

Entry 2:
Crystalline Rb2TaS4 at its relaxed geometry. Source: Alexandria, functional PBE.

Geometry as POSCAR:
```
Rb2TaS4
1.0
-0.0560 -1.4969 5.5934
7.5896 -0.0693 0.0574
-1.3925 11.4830 3.0592
S Ta Rb
8 2 4
Direct
0.4730 0.5206 0.2937
0.5270 0.4794 0.7063
0.2500 0.9221 0.6576
0.7500 0.0779 0.3424
0.2500 0.7776 0.9494
0.7500 0.2224 0.0506
0.9730 0.4794 0.7063
0.0270 0.5206 0.2937
0.7500 0.3089 0.2381
0.2500 0.6911 0.7619
0.2500 0.2413 0.4802
0.7500 0.7587 0.5198
0.2500 0.2276 0.9050
0.7500 0.7724 0.0950
```

E_form (uncorrected) (kJ/mol of atoms): -99.3
Calculated volume (Å³ per cell): 521.86
SG: P2_1/m
Energy above the lowest structure with this stoichiometry (meV per atom): 0

=====

Entry 3:
Crystalline RbTaS4 at its relaxed geometry. Source: Alexandria, functional PBE.

Geometry as POSCAR:
```
RbTaS4
1.0
5.8128 -0.6354 0.7052
1.0445 6.5790 3.6954
-0.8585 -0.8090 9.5346
Rb S Ta
2 8 2
Direct
0.7500 0.3186 0.3629
0.2500 0.6814 0.6371
0.2920 0.0798 0.3081
0.6679 0.8253 0.1165
0.3321 0.1747 0.8835
0.1679 0.9418 0.8835
0.8321 0.0582 0.1165
0.7920 0.3880 0.6919
0.2080 0.6120 0.3081
0.7080 0.9202 0.6919
0.2500 0.9192 0.1615
0.7500 0.0808 0.8385
```

E_form (uncorrected) (kJ/mol of atoms): -82.9
Calculated volume (Å³ per cell): 393.73
SG: C2/c
Energy above the lowest structure with this stoichiometry (meV per atom): 0

=====

Entry 4:
Crystalline Rb3TaS at its relaxed geometry. Source: Alexandria, functional PBE.

Geometry as POSCAR:
```
Rb3TaS
1.0
-3.2655 -5.4556 0.7201
5.4738 -3.3063 -0.2268
0.5655 0.5002 6.3542
Rb S Ta
3 1 1
Direct
0.5000 0.0000 0.0000
0.0000 0.0000 0.5000
0.0000 0.5000 0.0000
0.0000 0.0000 0.0000
0.5000 0.5000 0.5000
```

E_form (uncorrected) (kJ/mol of atoms): 72.5
Calculated volume (Å³ per cell): 262.00
SG: Pm-3m
Energy above the lowest structure with this stoichiometry (meV per atom): 0

=====

Entry 5:
Crystalline RbTaS4 at its relaxed geometry. Source: Alexandria, functional PBE.

Geometry as POSCAR:
```
RbTaS4
1.0
-3.6964 -0.1460 -1.8457
0.6873 -3.9350 -1.0652
-3.5051 -2.5673 7.2226
S Ta Rb
4 1 1
Direct
0.5000 0.0000 0.6834
0.5000 0.0000 0.3166
0.0000 0.5000 0.3166
0.0000 0.5000 0.6834
0.5000 0.5000 0.5000
0.0000 0.0000 0.0000
```

E_form (uncorrected) (kJ/mol of atoms): -46.5
Calculated volume (Å³ per cell): 144.06
SG: P4/mmm
Energy above the lowest structure with this stoichiometry (meV per atom): 377

=====

Entry 6:
Crystalline RbTa5S8 at its relaxed geometry. Source: Alexandria, functional PBE.

Geometry as POSCAR:
```
RbTa5S8
1.0
-3.2017 -0.8449 -0.5909
2.2092 -2.1292 -8.9254
2.6886 -7.0190 5.0417
S Ta Rb
8 5 1
Direct
0.9114 0.1514 0.8229
0.1505 0.4986 0.3010
0.0884 0.8202 0.1769
0.4185 0.8505 0.8371
0.8524 0.5162 0.7048
0.7487 0.8124 0.4974
0.2485 0.1933 0.4970
0.5837 0.1746 0.1673
0.0146 0.9970 0.0292
0.2892 0.6342 0.5785
0.6709 0.0003 0.3419
0.7122 0.3770 0.4245
0.3164 0.0029 0.6328
0.4944 0.4714 0.9889
```

E_form (uncorrected) (kJ/mol of atoms): -101.0
Calculated volume (Å³ per cell): 270.41
SG: Cm

=====

Entry 7:
Crystalline Rb3Ta2S11 at its relaxed geometry. Source: Alexandria, functional PBE.

Geometry as POSCAR:
```
Rb3Ta2S11
1.0
8.1318 0.0000 0.0000
0.0000 12.0518 -0.0165
0.0000 4.4992 19.2223
S Rb Ta
44 12 8
Direct
0.5763 0.0181 0.4024
0.8906 0.3004 0.2796
0.2341 0.7571 0.8940
0.9237 0.0181 0.9024
0.2740 0.9727 0.6851
0.4471 0.2554 0.9663
0.4819 0.5813 0.5478
0.9293 0.7349 0.2352
0.3743 0.4976 0.0123
0.4970 0.7527 0.5528
0.7691 0.3963 0.3410
0.6285 0.1360 0.9554
0.1285 0.8640 0.5446
0.7659 0.2429 0.1060
0.5030 0.2473 0.4472
0.3906 0.6996 0.2204
0.7341 0.2429 0.6060
0.3715 0.8640 0.0446
0.6257 0.5024 0.9877
0.7260 0.0273 0.3149
0.0707 0.2651 0.7648
0.5707 0.7349 0.7352
0.8715 0.1360 0.4554
0.9970 0.2473 0.9472
0.9471 0.7446 0.5337
0.0030 0.7527 0.0528
0.5529 0.7446 0.0337
0.7740 0.0273 0.8149
0.2691 0.6037 0.1590
0.9819 0.4187 0.9522
0.2260 0.9727 0.1851
0.6094 0.3004 0.7796
0.1257 0.4976 0.5123
0.4293 0.2651 0.2648
0.0529 0.2554 0.4663
0.4237 0.9819 0.5976
0.2659 0.7571 0.3940
0.5181 0.4187 0.4522
0.0181 0.5813 0.0478
0.2309 0.6037 0.6590
0.8743 0.5024 0.4877
0.1094 0.6996 0.7204
0.0763 0.9819 0.0976
0.7309 0.3963 0.8410
0.3394 0.0383 0.8571
0.3062 0.2644 0.6123
0.1938 0.2644 0.1123
0.8394 0.9617 0.6429
0.8305 0.4932 0.6605
0.1695 0.5068 0.3395
0.1606 0.0383 0.3571
0.6695 0.4932 0.1605
0.3305 0.5068 0.8395
0.6606 0.9617 0.1429
0.6938 0.7356 0.3877
0.8062 0.7356 0.8877
0.1415 0.7873 0.1626
0.2284 0.6942 0.5087
0.8585 0.2127 0.8374
0.6415 0.2127 0.3374
0.3585 0.7873 0.6626
0.7716 0.3058 0.4913
0.2716 0.6942 0.0087
0.7284 0.3058 0.9913
```

E_form (uncorrected) (kJ/mol of atoms): -83.5
Calculated volume (Å³ per cell): 1884.44
SG: P2_1/c

=====

Entry 8:
Crystalline RbTa4S8 at its relaxed geometry. Source: Alexandria, functional PBE.

Geometry as POSCAR:
```
RbTa4S8
1.0
7.4288 0.0000 0.0000
3.7144 6.4336 0.0000
3.7144 2.1445 6.0656
Ta S Rb
4 8 1
Direct
0.3600 0.9201 0.3600
0.9201 0.3600 0.3600
0.3600 0.3600 0.9201
0.3600 0.3600 0.3600
0.1260 0.6220 0.1260
0.1260 0.1260 0.1260
0.1260 0.1260 0.6220
0.2027 0.5991 0.5991
0.5991 0.2026 0.5991
0.5991 0.5991 0.2026
0.5991 0.5991 0.5991
0.6220 0.1260 0.1260
0.7500 0.7500 0.7500
```

E_form (uncorrected) (kJ/mol of atoms): -77.4
Calculated volume (Å³ per cell): 289.90
SG: F-43m
Energy above the lowest structure with this stoichiometry (meV per atom): 227

=====

Entry 9:
Crystalline Rb2Ta2S at its relaxed geometry. Source: Alexandria, functional PBE.

Geometry as POSCAR:
```
Rb2Ta2S
1.0
3.7243 0.0000 0.0000
0.0000 3.7243 0.0000
1.8621 1.8621 11.7532
Rb S Ta
2 1 2
Direct
0.5841 0.5841 0.8318
0.4159 0.4159 0.1682
0.0000 0.0000 0.0000
0.2500 0.7500 0.5000
0.7500 0.2500 0.5000
```

E_form (uncorrected) (kJ/mol of atoms): 52.6
Calculated volume (Å³ per cell): 163.02
SG: I4/mmm
Energy above the lowest structure with this stoichiometry (meV per atom): 0

=====

Entry 10:
Crystalline Rb2TaS2 at its relaxed geometry. Source: Alexandria, functional PBE.

Geometry as POSCAR:
```
Rb2TaS2
1.0
5.7482 0.0000 0.0000
0.0000 5.7482 0.0000
2.8741 2.8741 4.8392
Rb S Ta
2 2 1
Direct
0.6519 0.6519 0.6962
0.3481 0.3481 0.3038
0.2500 0.7500 0.5000
0.7500 0.2500 0.5000
0.0000 0.0000 0.0000
```

E_form (uncorrected) (kJ/mol of atoms): 89.2
Calculated volume (Å³ per cell): 159.89
SG: I4/mmm
Energy above the lowest structure with this stoichiometry (meV per atom): 266

=====

Entry 11:
Crystalline RbTaS3 at its relaxed geometry. Source: Alexandria, functional PBE.

Geometry as POSCAR:
```
RbTaS3
1.0
-2.6523 -1.3890 4.1674
4.1806 0.6963 2.8929
-1.3486 4.8905 0.7718
S Ta Rb
3 1 1
Direct
0.0000 0.5000 0.0000
0.0000 0.0000 0.5000
0.5000 0.0000 0.0000
0.5000 0.5000 0.5000
0.0000 0.0000 0.0000
```

E_form (uncorrected) (kJ/mol of atoms): 202.6
Calculated volume (Å³ per cell): 135.12
SG: Pm-3m

=====

Entry 12:
Crystalline RbTa4S8 at its relaxed geometry. Source: Alexandria, functional PBE.

Geometry as POSCAR:
```
RbTa4S8
1.0
-0.6211 2.8605 1.7318
-8.3217 -1.3600 2.6016
2.0546 -2.7341 8.5923
S Ta Rb
8 4 1
Direct
0.4768 0.3446 0.7017
0.2107 0.6887 0.8900
0.1540 0.3306 0.3614
0.8774 0.6729 0.5723
0.8570 0.9905 0.2955
0.1744 0.0130 0.6381
0.8208 0.3147 0.0437
0.5546 0.6588 0.2321
0.8386 0.4982 0.8246
0.6677 0.1736 0.4911
0.3638 0.8299 0.4426
0.1928 0.5052 0.1092
0.5157 0.0015 0.9670
```

E_form (uncorrected) (kJ/mol of atoms): -99.3
Calculated volume (Å³ per cell): 266.90
SG: C2/m
Energy above the lowest structure with this stoichiometry (meV per atom): 0

=====

Entry 13:
Crystalline RbTa6S12 at its relaxed geometry. Source: Alexandria, functional PBE.

Geometry as POSCAR:
```
RbTa6S12
1.0
-5.9862 4.5572 0.5534
-1.8598 -4.9058 -5.4206
-0.1337 -4.0680 6.3515
S Ta Rb
12 6 1
Direct
0.1754 0.4578 0.4578
0.5000 0.1262 0.8738
0.8738 0.1262 0.5000
0.1262 0.5000 0.8738
0.4578 0.1754 0.4578
0.1262 0.8738 0.5000
0.8246 0.5422 0.5422
0.5422 0.8246 0.5422
0.5422 0.5422 0.8246
0.8738 0.5000 0.1262
0.5000 0.8738 0.1262
0.4578 0.4578 0.1754
0.7516 0.7516 0.3668
0.2484 0.6332 0.2484
0.6332 0.2484 0.2484
0.3668 0.7516 0.7516
0.7516 0.3668 0.7516
0.2484 0.2484 0.6332
0.0000 0.0000 0.0000
```

E_form (uncorrected) (kJ/mol of atoms): -60.3
Calculated volume (Å³ per cell): 379.49
SG: R-3m

=====

Entry 14:
Crystalline RbTaS3 at its relaxed geometry. Source: Alexandria, functional PBE.

Geometry as POSCAR:
```
RbTaS3
1.0
4.8825 0.0000 0.0000
0.0000 4.8825 0.0000
0.0000 0.0000 4.8825
S Ta Rb
3 1 1
Direct
0.5000 0.0000 0.0000
0.0000 0.5000 0.0000
0.0000 0.0000 0.5000
0.0000 0.0000 0.0000
0.5000 0.5000 0.5000
```

E_form (uncorrected) (kJ/mol of atoms): -94.2
Calculated volume (Å³ per cell): 116.39
SG: Pm-3m

=====

Entry 15:
Crystalline Rb2TaS3 at its relaxed geometry. Source: Alexandria, functional PBE.

Geometry as POSCAR:
```
Rb2TaS3
1.0
-4.0024 0.9767 -0.1055
-0.6573 -1.2628 13.2415
3.2644 13.5335 1.4527
Ta Rb S
4 8 12
Direct
0.7500 0.2557 0.6814
0.2500 0.2443 0.1814
0.7500 0.7557 0.8186
0.2500 0.7443 0.3186
0.7500 0.0194 0.3372
0.7500 0.5194 0.1628
0.2500 0.9806 0.6628
0.7500 0.1570 0.9563
0.2500 0.8430 0.0437
0.2500 0.3430 0.4563
0.7500 0.6570 0.5437
0.2500 0.4806 0.8372
0.2500 0.3489 0.0529
0.7500 0.6511 0.9471
0.7500 0.4226 0.6458
0.7500 0.2771 0.2693
0.2500 0.0774 0.1458
0.2500 0.8489 0.4471
0.7500 0.9226 0.8542
0.7500 0.7771 0.2307
0.2500 0.5774 0.3542
0.7500 0.1511 0.5529
0.2500 0.2229 0.7693
0.2500 0.7229 0.7307
```

E_form (uncorrected) (kJ/mol of atoms): -102.5
Calculated volume (Å³ per cell): 768.24
SG: Pnma

=====

Entry 16:
Crystalline RbTaTi2S at its relaxed geometry. Source: Alexandria, functional PBE.

Geometry as POSCAR:
```
RbTaTi2S
1.0
4.8247 0.0000 0.0000
0.0000 6.1668 0.0000
0.0000 0.0000 4.8247
Rb Ta Ti S
1 1 2 1
Direct
0.0000 0.5000 0.0000
0.0000 0.0000 0.0000
0.0000 0.0000 0.5000
0.5000 0.0000 0.0000
0.5000 0.5000 0.5000
```

E_form (uncorrected) (kJ/mol of atoms): 127.1
Calculated volume (Å³ per cell): 143.55
SG: P4/mmm

=====

Entry 17:
Crystalline RbTaTiS2 at its relaxed geometry. Source: Alexandria, functional PBE.

Geometry as POSCAR:
```
RbTaTiS2
1.0
-2.3207 -4.3056 0.5672
3.1161 -2.1444 -3.5286
3.1721 -1.2413 3.5556
S Rb Ta Ti
2 1 1 1
Direct
0.5000 0.0000 0.0000
0.0000 0.0000 0.5000
0.5000 0.5000 0.5000
0.0000 0.0000 0.0000
0.0000 0.5000 0.0000
```

E_form (uncorrected) (kJ/mol of atoms): -2.3
Calculated volume (Å³ per cell): 125.42
SG: P4/mmm

=====

Entry 18:
Crystalline RbTa2TiS8 at its relaxed geometry. Source: Alexandria, functional PBE.

Geometry as POSCAR:
```
RbTa2TiS8
1.0
-1.8321 -5.7560 -2.0405
3.6675 -5.0945 1.1167
-3.9071 -5.0775 7.8695
S Ti Rb Ta
8 1 1 2
Direct
0.0560 0.3586 0.8488
0.6414 0.2634 0.1512
0.3586 0.7366 0.8488
0.7366 0.0560 0.8488
0.8170 0.8170 0.5489
0.1830 0.1830 0.4511
0.9440 0.6414 0.1512
0.2634 0.9440 0.1512
0.0000 0.0000 0.0000
0.5000 0.5000 0.5000
0.2615 0.2615 0.2154
0.7385 0.7385 0.7846
```

E_form (uncorrected) (kJ/mol of atoms): -78.6
Calculated volume (Å³ per cell): 332.92
SG: R-3

=====

Entry 19:
Crystalline Rb3Tm3TaS8 at its relaxed geometry. Source: Alexandria, functional PBE.

Geometry as POSCAR:
```
Rb3Tm3TaS8
1.0
-4.1327 -6.5008 1.0971
5.9440 1.6775 4.7360
-7.4655 4.9532 1.2233
Rb S Tm Ta
3 8 3 1
Direct
0.0000 0.0000 0.0000
0.5000 0.5000 0.0000
0.0000 0.5000 0.0000
0.2163 0.9649 0.6812
0.7835 0.5671 0.3187
0.7837 0.0351 0.3188
0.2515 0.0352 0.3189
0.7301 0.4601 0.6903
0.2699 0.5399 0.3097
0.7485 0.9648 0.6811
0.2165 0.4329 0.6813
0.0000 0.5000 0.5000
0.5000 0.0000 0.5000
0.5000 0.5000 0.5000
0.0000 0.0000 0.5000
```

E_form (uncorrected) (kJ/mol of atoms): -158.9
Calculated volume (Å³ per cell): 411.62
SG: R-3m

=====

| no. | VASP energy (eV/atom) | density of states at the Fermi level (states/eV/f.u.) |
| --- | --- | --- |
| 1 | -5.263 | 8.3 |
| 2 | -5.358 | 1.4 |
| 3 | -5.747 | 0.0 |
| 4 | -3.025 | 5.9 |
| 5 | -5.370 | 1.9 |
| 6 | -7.708 | 6.7 |
| 7 | -5.366 | 0.0 |
| 8 | -7.063 | 11.4 |
| 9 | -5.409 | 4.9 |
| 10 | -3.484 | 1.9 |
| 11 | -2.940 | 15.6 |
| 12 | -7.290 | 6.0 |
| 13 | -7.026 | 13.5 |
| 14 | -6.017 | 1.8 |
| 15 | -5.424 | 1.5 |
| 16 | -5.230 | 7.6 |
| 17 | -5.817 | 3.9 |
| 18 | -6.280 | 14.0 |
| 19 | -5.727 | 4.0 |